Entry 1:
# Dy2ZrGa9, relaxed, DFT PBE-GGA
# Crystal system: tetragonal
# DOS(E_F) in states/eV per cell: 4.19
# Calculated total energy in eV per atom: -4.266
data_Dy2ZrGa9
_symmetry_space_group_name_H-M 'P 4/m m m'
_symmetry_Int_Tables_number 123
_symmetry_space_group_name_Hall '-P 4 2'
_cell_length_a 4.227
_cell_length_b 4.227
_cell_length_c 12.677
_cell_angle_alpha 90.00
_cell_angle_beta 90.00
_cell_angle_gamma 90.00
loop_
_atom_site_label
_atom_site_fract_x
_atom_site_fract_y
_atom_site_fract_z
Dy1 0.000 0.000 0.173
Zr1 0.000 0.000 0.500
Ga1 0.000 0.500 0.000
Ga2 0.000 0.500 0.340
Ga3 0.500 0.500 0.166
Ga4 0.500 0.500 0.500

***

Entry 2:
# ErSi2Pd, relaxed, DFT PBE-GGA
# Crystal system: orthorhombic
# Raw formation energy in eV/f.u.: -3.160
# DOS(E_F) in states/eV per cell: 13.08
data_ErSi2Pd
_symmetry_space_group_name_H-M 'P n m a'
_symmetry_Int_Tables_number 62
_cell_length_a 13.328
_cell_length_b 4.060
_cell_length_c 10.519
_cell_angle_alpha 90.00
_cell_angle_beta 90.00
_cell_angle_gamma 90.00
loop_
_symmetry_equiv_pos_as_xyz
'x,y,z'
'-x,-y,-z'
'-x+1/2,-y,z+1/2'
'x+1/2,y,-z+1/2'
'x+1/2,-y+1/2,-z+1/2'
'-x+1/2,y+1/2,z+1/2'
'-x,y+1/2,-z'
'x,-y+1/2,z'
loop_
_atom_site_label
_atom_site_fract_x
_atom_site_fract_y
_atom_site_fract_z
Er1 0.049 0.250 0.245
Er2 0.199 0.750 0.973
Si1 0.031 0.250 0.958
Si2 0.116 0.250 0.768
Si3 0.126 0.750 0.459
Si4 0.207 0.750 0.263
Pd1 0.061 0.250 0.555
Pd2 0.209 0.750 0.676

***

> Which of these has the lowest DOS(E_F)?

Dy2ZrGa9

***

> Which value of DOS(E_F) does entry 1 give?

4.19 states/eV per cell